Record 1
Below is an optimized crystal structure of Tl2CdAu, with properties calculated at the GGA-PBEsol level.

abc: 3.215 5.426 6.274
angles: 115.62 104.85 90.00
Sites, in units of the cell vectors:
Cd1 0.222 0.722 0.443
Au1 0.510 0.510 0.019
Tl1 0.777 0.277 0.555
Tl2 0.991 0.991 0.982

Results
The calculated formation energy comes out at 2.8 kJ/mol of atoms. The excess energy over the best structure of this formula in the dataset comes out at 0.021 eV/atom.

***

Record 2
Below is an optimized crystal structure of TlCdAu2, with properties calculated at the GGA-PBEsol level.

abc: 3.417 3.417 6.830
angles: 90.00 90.00 90.00
Sites, in units of the cell vectors:
Tl1 0.500 0.500 0.500
Au1 0.000 0.000 0.225
Au2 0.000 0.000 0.775
Cd1 0.500 0.500 0.000

Results
The calculated formation energy comes out at -2.5 kJ/mol of atoms.

***

Record 3
Below is an optimized crystal structure of Tl2CdAu, with properties calculated at the GGA-PBEsol level.

abc: 3.744 4.593 5.807
angles: 90.00 108.66 90.00
Sites, in units of the cell vectors:
Cd1 0.448 0.500 0.773
Au1 0.299 0.000 0.473
Tl1 0.031 0.000 0.936
Tl2 0.722 0.500 0.318

Results
The calculated formation energy comes out at 1.4 kJ/mol of atoms. The excess energy over the best structure of this formula in the dataset comes out at 0.006 eV/atom.